1.
{
  "formula": "Np2Te3H",
  "functional": "GGA-PBE",
  "state": "optimized geometry",
  "cell": [[11.8503, 0.0000, 0.0000], [0.0000, 4.1066, 0.0000], [0.0000, 0.0000, 12.2049]],
  "species": ["Np", "Np", "Np", "Np", "Np", "Np", "Np", "Np", "Te", "Te", "Te", "Te", "Te", "Te", "Te", "Te", "Te", "Te", "Te", "Te", "H", "H", "H", "H"],
  "frac_coords": [[0.0470, 0.2500, 0.1755], [0.2017, 0.2500, 0.5163], [0.2983, 0.7500, 0.0163], [0.4530, 0.7500, 0.6755], [0.5470, 0.2500, 0.3245], [0.7017, 0.2500, 0.9837], [0.7983, 0.7500, 0.4837], [0.9530, 0.7500, 0.8245], [0.0573, 0.7500, 0.3755], [0.1177, 0.2500, 0.9337], [0.1989, 0.7500, 0.7057], [0.3011, 0.2500, 0.2057], [0.3823, 0.7500, 0.4337], [0.4427, 0.2500, 0.8755], [0.5573, 0.7500, 0.1245], [0.6177, 0.2500, 0.5663], [0.6989, 0.7500, 0.7943], [0.8011, 0.2500, 0.2943], [0.8823, 0.7500, 0.0663], [0.9427, 0.2500, 0.6245], [0.1330, 0.7500, 0.1230], [0.3670, 0.2500, 0.6230], [0.6330, 0.7500, 0.3770], [0.8670, 0.2500, 0.8770]],
  "final_energy_ev_per_atom": -7.012,
  "n_ef_per_ev_fu": 18.5
}

---

2.
{
  "formula": "NpTe2H",
  "functional": "GGA-PBE",
  "state": "optimized geometry",
  "cell": [[4.5091, 0.0000, 0.0000], [-2.2545, 3.9050, 0.0000], [0.0000, 0.0000, 21.9172]],
  "species": ["Np", "Np", "Np", "Te", "Te", "Te", "Te", "Te", "Te", "H", "H", "H"],
  "frac_coords": [[0.0000, 0.0000, 0.0000], [0.3333, 0.6667, 0.6667], [0.6667, 0.3333, 0.3333], [0.0000, 0.0000, 0.4108], [0.0000, 0.0000, 0.5892], [0.3333, 0.6667, 0.0774], [0.3333, 0.6667, 0.2559], [0.6667, 0.3333, 0.7441], [0.6667, 0.3333, 0.9226], [0.0000, 0.0000, 0.5000], [0.3333, 0.6667, 0.1667], [0.6667, 0.3333, 0.8333]],
  "relative_energy_ev_per_atom": 0.057,
  "n_ef_per_ev_fu": 10.3
}

---

3.
{
  "formula": "Th2NpH8",
  "functional": "GGA-PBE",
  "state": "optimized geometry",
  "cell": [[-1.7668, 3.0821, 5.2823], [1.7668, -3.0821, 5.2823], [1.7668, 3.0821, -5.2823]],
  "species": ["Th", "Th", "Np", "H", "H", "H", "H", "H", "H", "H", "H"],
  "frac_coords": [[0.1674, 0.1674, 0.0000], [0.8326, 0.8326, 0.0000], [0.5000, 0.5000, 0.0000], [0.0883, 0.3386, 0.7497], [0.2498, 0.0000, 0.2498], [0.3363, 0.8363, 0.5000], [0.4111, 0.6614, 0.7497], [0.5889, 0.3386, 0.2503], [0.6637, 0.1637, 0.5000], [0.7502, 0.0000, 0.7502], [0.9117, 0.6614, 0.2503]],
  "final_energy_ev_per_atom": -5.336,
  "n_ef_per_ev_fu": 5.8
}

---

4.
{
  "formula": "ThNpH",
  "functional": "GGA-PBE",
  "state": "optimized geometry",
  "cell": [[4.6369, 0.0000, 0.0000], [-0.2901, 8.4310, 0.0000], [-2.0653, -3.6116, 8.9620]],
  "species": ["Th", "Th", "Th", "Th", "Th", "Th", "Np", "Np", "Np", "Np", "Np", "Np", "H", "H", "H", "H", "H", "H"],
  "frac_coords": [[0.0000, 0.0000, 0.0000], [0.0115, 0.4763, 0.9965], [0.3927, 0.1264, 0.7693], [0.4051, 0.6481, 0.7837], [0.6033, 0.7668, 0.1925], [0.8069, 0.3670, 0.5857], [0.0766, 0.5900, 0.3889], [0.2378, 0.0641, 0.3887], [0.6377, 0.3911, 0.2355], [0.7895, 0.1292, 0.2606], [0.7993, 0.7554, 0.5684], [0.9057, 0.0155, 0.5304], [0.1647, 0.8799, 0.7830], [0.1979, 0.7378, 0.9907], [0.3361, 0.1707, 0.2190], [0.4538, 0.8365, 0.4221], [0.6049, 0.3985, 0.7939], [0.7466, 0.2410, 0.9992]],
  "final_energy_ev_per_atom": -7.809,
  "n_ef_per_ev_fu": 4.7
}

---

5.
{
  "formula": "NpTiH",
  "functional": "GGA-PBE",
  "state": "optimized geometry",
  "cell": [[2.6892, -5.9748, 0.0000], [2.6892, 5.9748, 0.0000], [0.0000, 0.0000, 4.6397]],
  "species": ["Np", "Np", "Np", "Np", "Ti", "Ti", "Ti", "Ti", "H", "H", "H", "H"],
  "frac_coords": [[0.0452, 0.9548, 0.7599], [0.4548, 0.5452, 0.2599], [0.5452, 0.4548, 0.7401], [0.9548, 0.0452, 0.2401], [0.0546, 0.4454, 0.7500], [0.4454, 0.0546, 0.2500], [0.5546, 0.9454, 0.7500], [0.9454, 0.5546, 0.2500], [0.2126, 0.7874, 0.5484], [0.2874, 0.7126, 0.0484], [0.7126, 0.2874, 0.9516], [0.7874, 0.2126, 0.4516]],
  "final_energy_ev_per_atom": -8.118,
  "n_ef_per_ev_fu": 4.2
}

---

6.
{
  "formula": "NpTiH2",
  "functional": "GGA-PBE",
  "state": "optimized geometry",
  "cell": [[2.9779, 0.0000, 0.0000], [-1.4890, 2.5789, 0.0000], [0.0000, 0.0000, 19.1064]],
  "species": ["Np", "Np", "Np", "Ti", "Ti", "Ti", "H", "H", "H", "H", "H", "H"],
  "frac_coords": [[0.0000, 0.0000, 0.0000], [0.3333, 0.6667, 0.6667], [0.6667, 0.3333, 0.3333], [0.0000, 0.0000, 0.5000], [0.3333, 0.6667, 0.1667], [0.6667, 0.3333, 0.8333], [0.0000, 0.0000, 0.4040], [0.0000, 0.0000, 0.5960], [0.3333, 0.6667, 0.0707], [0.3333, 0.6667, 0.2627], [0.6667, 0.3333, 0.7373], [0.6667, 0.3333, 0.9293]],
  "final_energy_ev_per_atom": -6.804,
  "n_ef_per_ev_fu": 3.9
}

---

7.
{
  "formula": "NpTlH2",
  "functional": "GGA-PBE",
  "state": "optimized geometry",
  "cell": [[3.6073, 0.0000, 0.0000], [-1.8036, 3.1240, 0.0000], [0.0000, 0.0000, 16.3835]],
  "species": ["Np", "Np", "Np", "Tl", "Tl", "Tl", "H", "H", "H", "H", "H", "H"],
  "frac_coords": [[0.0000, 0.0000, 0.0000], [0.3333, 0.6667, 0.6667], [0.6667, 0.3333, 0.3333], [0.0000, 0.0000, 0.5000], [0.3333, 0.6667, 0.1667], [0.6667, 0.3333, 0.8333], [0.0000, 0.0000, 0.2979], [0.0000, 0.0000, 0.7021], [0.3333, 0.6667, 0.3687], [0.3333, 0.6667, 0.9646], [0.6667, 0.3333, 0.0354], [0.6667, 0.3333, 0.6313]],
  "final_energy_ev_per_atom": -5.486,
  "n_ef_per_ev_fu": 7.0
}

---

8.
{
  "formula": "Np2UH8",
  "functional": "GGA-PBE",
  "state": "optimized geometry",
  "cell": [[-1.8687, 2.4994, 5.6057], [1.8687, -2.4994, 5.6057], [1.8687, 2.4994, -5.6057]],
  "species": ["Np", "Np", "U", "H", "H", "H", "H", "H", "H", "H", "H"],
  "frac_coords": [[0.1750, 0.1750, 0.0000], [0.8250, 0.8250, 0.0000], [0.5000, 0.5000, 0.0000], [0.0776, 0.3411, 0.7364], [0.2292, 0.0000, 0.2292], [0.3381, 0.8381, 0.5000], [0.3953, 0.6589, 0.7364], [0.6047, 0.3411, 0.2636], [0.6619, 0.1619, 0.5000], [0.7708, 0.0000, 0.7708], [0.9224, 0.6589, 0.2636]],
  "final_energy_ev_per_atom": -6.046,
  "n_ef_per_ev_fu": 8.8
}

---

9.
{
  "formula": "NpU2H8",
  "functional": "GGA-PBE",
  "state": "optimized geometry",
  "cell": [[-1.8778, 2.4847, 5.6377], [1.8778, -2.4847, 5.6377], [1.8778, 2.4847, -5.6377]],
  "species": ["Np", "U", "U", "H", "H", "H", "H", "H", "H", "H", "H"],
  "frac_coords": [[0.0000, 0.0000, 0.0000], [0.3269, 0.3269, 0.0000], [0.6731, 0.6731, 0.0000], [0.1002, 0.8396, 0.2605], [0.1682, 0.6682, 0.5000], [0.2673, 0.5000, 0.7673], [0.4209, 0.1604, 0.2605], [0.5791, 0.8396, 0.7395], [0.7327, 0.5000, 0.2327], [0.8318, 0.3318, 0.5000], [0.8998, 0.1604, 0.7395]],
  "final_energy_ev_per_atom": -5.898,
  "n_ef_per_ev_fu": 9.7
}

---

10.
{
  "formula": "NpUH3",
  "functional": "GGA-PBE",
  "state": "optimized geometry",
  "cell": [[3.5198, 0.0000, 0.0000], [0.0000, 5.0417, 0.0000], [-1.7562, 0.0000, 5.6443]],
  "species": ["Np", "Np", "U", "U", "H", "H", "H", "H", "H", "H"],
  "frac_coords": [[0.1231, 0.0000, 0.2474], [0.8769, 0.5000, 0.7526], [0.3756, 0.1510, 0.7498], [0.6244, 0.6510, 0.2502], [0.0729, 0.4213, 0.1466], [0.2737, 0.7194, 0.5470], [0.4346, 0.7171, 0.8685], [0.5654, 0.2171, 0.1315], [0.7263, 0.2194, 0.4530], [0.9271, 0.9213, 0.8534]],
  "final_energy_ev_per_atom": -6.918,
  "n_ef_per_ev_fu": 4.3
}

---

11.
{
  "formula": "Np2VH6",
  "functional": "GGA-PBE",
  "state": "optimized geometry",
  "cell": [[0.0000, 3.5069, 3.5069], [3.5069, 0.0000, 3.5069], [3.5069, 3.5069, 0.0000]],
  "species": ["Np", "Np", "V", "H", "H", "H", "H", "H", "H"],
  "frac_coords": [[0.2500, 0.2500, 0.2500], [0.7500, 0.7500, 0.7500], [0.0000, 0.0000, 0.0000], [0.2578, 0.2578, 0.7422], [0.2578, 0.7422, 0.2578], [0.2578, 0.7422, 0.7422], [0.7422, 0.2578, 0.2578], [0.7422, 0.2578, 0.7422], [0.7422, 0.7422, 0.2578]],
  "final_energy_ev_per_atom": -6.302,
  "n_ef_per_ev_fu": 4.6
}

---

12.
{
  "formula": "NpVH",
  "functional": "GGA-PBE",
  "state": "optimized geometry",
  "cell": [[2.5613, 0.0000, 0.0000], [0.0000, 2.5613, 0.0000], [0.0000, 0.0000, 10.3975]],
  "species": ["Np", "Np", "V", "V", "H", "H"],
  "frac_coords": [[0.2500, 0.2500, 0.1314], [0.7500, 0.7500, 0.8686], [0.2500, 0.2500, 0.3835], [0.7500, 0.7500, 0.6165], [0.2500, 0.2500, 0.5707], [0.7500, 0.7500, 0.4293]],
  "relative_energy_ev_per_atom": 0.016,
  "n_ef_per_ev_fu": 4.0
}

---

13.
{
  "formula": "NpVH",
  "functional": "GGA-PBE",
  "state": "optimized geometry",
  "cell": [[2.5896, 0.0000, 0.0000], [0.0000, 2.5896, 0.0000], [0.0000, 0.0000, 10.1829]],
  "species": ["Np", "Np", "V", "V", "H", "H"],
  "frac_coords": [[0.0000, 0.0000, 0.0000], [0.5000, 0.5000, 0.5000], [0.0000, 0.0000, 0.7521], [0.5000, 0.5000, 0.2521], [0.0000, 0.0000, 0.2138], [0.5000, 0.5000, 0.7138]],
  "relative_energy_ev_per_atom": 0.000,
  "n_ef_per_ev_fu": 3.4
}

---

14.
{
  "formula": "NpHW",
  "functional": "GGA-PBE",
  "state": "optimized geometry",
  "cell": [[4.6921, 0.0000, 0.0000], [0.0000, 4.5450, 0.0000], [-0.0610, 0.0000, 6.9817]],
  "species": ["Np", "Np", "Np", "Np", "H", "H", "H", "H", "W", "W", "W", "W"],
  "frac_coords": [[0.2503, 0.0000, 0.0785], [0.2497, 0.5000, 0.9215], [0.7497, 0.0000, 0.9215], [0.7503, 0.5000, 0.0785], [0.1308, 0.5000, 0.6264], [0.3692, 0.0000, 0.3736], [0.6308, 0.0000, 0.6264], [0.8692, 0.5000, 0.3736], [0.2371, 0.0000, 0.6242], [0.2629, 0.5000, 0.3758], [0.7371, 0.5000, 0.6242], [0.7629, 0.0000, 0.3758]],
  "final_energy_ev_per_atom": -9.531,
  "n_ef_per_ev_fu": 2.0
}

---

15.
{
  "formula": "Np2Zn16H",
  "functional": "GGA-PBE",
  "state": "optimized geometry",
  "cell": [[4.4810, 2.5871, 4.3680], [-4.4810, 2.5871, 4.3680], [0.0000, -5.1742, 4.3680]],
  "species": ["Np", "Np", "Zn", "Zn", "Zn", "Zn", "Zn", "Zn", "Zn", "Zn", "Zn", "Zn", "Zn", "Zn", "Zn", "Zn", "Zn", "Zn", "H"],
  "frac_coords": [[0.0000, 0.0000, 0.0000], [0.3271, 0.3271, 0.3271], [0.0113, 0.0113, 0.5224], [0.0113, 0.5224, 0.0113], [0.2016, 0.6462, 0.6462], [0.3036, 0.3036, 0.8458], [0.3036, 0.8458, 0.3036], [0.3710, 0.6657, 0.9623], [0.3710, 0.9623, 0.6657], [0.5224, 0.0113, 0.0113], [0.6462, 0.2016, 0.6462], [0.6462, 0.6462, 0.2016], [0.6657, 0.3710, 0.9623], [0.6657, 0.9623, 0.3710], [0.7630, 0.7630, 0.7630], [0.8458, 0.3036, 0.3036], [0.9623, 0.3710, 0.6657], [0.9623, 0.6657, 0.3710], [0.4903, 0.4903, 0.4903]],
  "final_energy_ev_per_atom": -2.596,
  "n_ef_per_ev_fu": 19.6
}

---

16.
{
  "formula": "Np2ZnH8",
  "functional": "GGA-PBE",
  "state": "optimized geometry",
  "cell": [[-1.8912, 2.3310, 5.3214], [1.8912, -2.3310, 5.3214], [1.8912, 2.3310, -5.3214]],
  "species": ["Np", "Np", "Zn", "H", "H", "H", "H", "H", "H", "H", "H"],
  "frac_coords": [[0.1731, 0.1731, 0.0000], [0.8269, 0.8269, 0.0000], [0.5000, 0.5000, 0.0000], [0.1176, 0.3628, 0.7548], [0.2527, 0.0000, 0.2527], [0.2963, 0.7963, 0.5000], [0.3921, 0.6372, 0.7548], [0.6079, 0.3628, 0.2452], [0.7037, 0.2037, 0.5000], [0.7473, 0.0000, 0.7473], [0.8824, 0.6372, 0.2452]],
  "final_energy_ev_per_atom": -5.012,
  "n_ef_per_ev_fu": 9.2
}

---

17.
{
  "formula": "NpZnH2",
  "functional": "GGA-PBE",
  "state": "optimized geometry",
  "cell": [[3.0477, 0.0000, 0.0000], [-1.5239, 2.6394, 0.0000], [0.0000, 0.0000, 18.2228]],
  "species": ["Np", "Np", "Np", "Zn", "Zn", "Zn", "H", "H", "H", "H", "H", "H"],
  "frac_coords": [[0.0000, 0.0000, 0.0000], [0.3333, 0.6667, 0.6667], [0.6667, 0.3333, 0.3333], [0.0000, 0.0000, 0.5000], [0.3333, 0.6667, 0.1667], [0.6667, 0.3333, 0.8333], [0.0000, 0.0000, 0.4054], [0.0000, 0.0000, 0.5946], [0.3333, 0.6667, 0.0721], [0.3333, 0.6667, 0.2613], [0.6667, 0.3333, 0.7387], [0.6667, 0.3333, 0.9279]],
  "final_energy_ev_per_atom": -5.108,
  "n_ef_per_ev_fu": 2.9
}

---

18.
{
  "formula": "NpZnH",
  "functional": "GGA-PBE",
  "state": "optimized geometry",
  "cell": [[6.2232, 0.0000, 0.0000], [0.0000, 3.6006, 0.0000], [-2.0676, 0.0000, 7.6123]],
  "species": ["Np", "Np", "Np", "Np", "Zn", "Zn", "Zn", "Zn", "H", "H", "H", "H"],
  "frac_coords": [[0.1947, 0.0000, 0.0834], [0.3053, 0.5000, 0.9166], [0.6947, 0.5000, 0.0834], [0.8053, 0.0000, 0.9166], [0.1227, 0.5000, 0.3674], [0.3773, 0.0000, 0.6326], [0.6227, 0.0000, 0.3674], [0.8773, 0.5000, 0.6326], [0.2055, 0.5000, 0.6155], [0.2945, 0.0000, 0.3845], [0.7055, 0.0000, 0.6155], [0.7945, 0.5000, 0.3845]],
  "final_energy_ev_per_atom": -5.705,
  "n_ef_per_ev_fu": 2.5
}

---

19.
{
  "formula": "Zr2NpH8",
  "functional": "GGA-PBE",
  "state": "optimized geometry",
  "cell": [[-1.6140, 2.8516, 4.9121], [1.6140, -2.8516, 4.9121], [1.6140, 2.8516, -4.9121]],
  "species": ["Zr", "Zr", "Np", "H", "H", "H", "H", "H", "H", "H", "H"],
  "frac_coords": [[0.1728, 0.1728, 0.0000], [0.8272, 0.8272, 0.0000], [0.5000, 0.5000, 0.0000], [0.0692, 0.3371, 0.7321], [0.2164, 0.0000, 0.2164], [0.3305, 0.8305, 0.5000], [0.3949, 0.6629, 0.7321], [0.6051, 0.3371, 0.2679], [0.6695, 0.1695, 0.5000], [0.7836, 0.0000, 0.7836], [0.9308, 0.6629, 0.2679]],
  "final_energy_ev_per_atom": -5.509,
  "n_ef_per_ev_fu": 5.5
}

---

20.
{
  "formula": "ZrNp2H8",
  "functional": "GGA-PBE",
  "state": "optimized geometry",
  "cell": [[-1.8462, 2.3061, 5.7681], [1.8462, -2.3061, 5.7681], [1.8462, 2.3061, -5.7681]],
  "species": ["Zr", "Np", "Np", "H", "H", "H", "H", "H", "H", "H", "H"],
  "frac_coords": [[0.0000, 0.0000, 0.0000], [0.3264, 0.3264, 0.0000], [0.6736, 0.6736, 0.0000], [0.0949, 0.8530, 0.2419], [0.2066, 0.7066, 0.5000], [0.2445, 0.5000, 0.7445], [0.3890, 0.1470, 0.2419], [0.6110, 0.8530, 0.7581], [0.7555, 0.5000, 0.2555], [0.7934, 0.2934, 0.5000], [0.9051, 0.1470, 0.7581]],
  "final_energy_ev_per_atom": -5.860,
  "n_ef_per_ev_fu": 10.3
}

---

21.
{
  "formula": "HOs2O",
  "functional": "GGA-PBE",
  "state": "optimized geometry",
  "cell": [[4.5228, 0.0000, 0.0000], [0.0000, 4.5228, 0.0000], [0.0000, 0.0000, 8.2892]],
  "species": ["H", "H", "H", "H", "Os", "Os", "Os", "Os", "Os", "Os", "Os", "Os", "O", "O", "O", "O"],
  "frac_coords": [[0.0000, 0.0000, 0.0000], [0.0000, 0.5000, 0.2500], [0.5000, 0.0000, 0.7500], [0.5000, 0.5000, 0.5000], [0.1779, 0.2500, 0.1250], [0.2500, 0.6779, 0.3750], [0.2500, 0.8221, 0.8750], [0.3221, 0.2500, 0.6250], [0.6779, 0.7500, 0.6250], [0.7500, 0.1779, 0.8750], [0.7500, 0.3221, 0.3750], [0.8221, 0.7500, 0.1250], [0.0000, 0.0000, 0.5000], [0.0000, 0.5000, 0.7500], [0.5000, 0.0000, 0.2500], [0.5000, 0.5000, 0.0000]],
  "relative_energy_ev_per_atom": 0.000,
  "n_ef_per_ev_fu": 3.4
}

---

22.
{
  "formula": "H2OsO",
  "functional": "GGA-PBE",
  "state": "optimized geometry",
  "cell": [[0.0000, 3.0694, 3.0694], [3.0694, 0.0000, 3.0694], [3.0694, 3.0694, 0.0000]],
  "species": ["H", "H", "H", "H", "Os", "Os", "O", "O"],
  "frac_coords": [[0.0000, 0.0000, 0.0000], [0.0000, 0.0000, 0.5000], [0.0000, 0.5000, 0.0000], [0.5000, 0.0000, 0.0000], [0.3750, 0.3750, 0.3750], [0.6250, 0.6250, 0.6250], [0.1250, 0.1250, 0.1250], [0.8750, 0.8750, 0.8750]],
  "relative_energy_ev_per_atom": 0.000,
  "n_ef_per_ev_fu": 0.6
}

---

23.
{
  "formula": "HOs2O",
  "functional": "GGA-PBE",
  "state": "optimized geometry",
  "cell": [[5.4534, 0.0000, 0.0000], [0.0000, 5.4534, 0.0000], [0.0000, 0.0000, 5.4534]],
  "species": ["H", "H", "H", "H", "Os", "Os", "Os", "Os", "Os", "Os", "Os", "Os", "O", "O", "O", "O"],
  "frac_coords": [[0.0000, 0.0000, 0.0000], [0.0000, 0.5000, 0.5000], [0.5000, 0.0000, 0.5000], [0.5000, 0.5000, 0.0000], [0.2500, 0.2500, 0.2500], [0.2500, 0.2500, 0.7500], [0.2500, 0.7500, 0.2500], [0.2500, 0.7500, 0.7500], [0.7500, 0.2500, 0.2500], [0.7500, 0.2500, 0.7500], [0.7500, 0.7500, 0.2500], [0.7500, 0.7500, 0.7500], [0.0000, 0.0000, 0.5000], [0.0000, 0.5000, 0.0000], [0.5000, 0.0000, 0.0000], [0.5000, 0.5000, 0.5000]],
  "relative_energy_ev_per_atom": 0.727,
  "n_ef_per_ev_fu": 2.8
}